Below is a relaxed structure of EuY3Co, with properties calculated at the PBE level.

**Fermi-level density of states**: 5.9 states/eV/f.u.
**Energy of formation**: -5 kJ per mole of atoms

The structure in POSCAR format:
```
EuY3Co
1.0
-3.157 -2.310 -3.667
4.172 -0.391 -3.345
1.173 -4.823 2.027
Y Co Eu
3 1 1
direct
0.000 0.000 0.500 Y
0.000 0.500 0.000 Y
0.500 0.000 0.000 Y
0.000 0.000 0.000 Co
0.500 0.500 0.500 Eu
```